Model one:
GaHgTe2N PBE-GGA optimized geometry; M_tot = 1.80 μB/f.u.
1.0
5.9578 0.0000 0.0000
0.0000 5.9578 0.0000
0.0000 0.0000 4.0379
Ga Hg Te N
1 1 2 1
Cartesian
0.0000 0.0000 0.0000 Ga
2.9789 2.9789 2.0190 Hg
0.0000 2.9789 2.0190 Te
2.9789 0.0000 2.0190 Te
2.9789 2.9789 0.0000 N

---

Model two:
GaHgTe2N PBE-GGA optimized geometry; M_tot = 0.00 μB/f.u.
1.0
6.0000 0.0000 0.0000
0.0000 6.0000 0.0000
0.0000 0.0000 3.4689
Ga Hg Te N
1 1 2 1
Cartesian
0.0000 0.0000 0.0000 Ga
3.0000 3.0000 1.7345 Hg
0.0000 3.0000 0.0000 Te
3.0000 0.0000 0.0000 Te
0.0000 0.0000 1.7345 N

---

In meV per atom, relative to the most stable structure: model one 473; model two 0.

---

Model one:
Na2GaHg2 PBE-GGA optimized geometry; M_tot = 0.00 μB/f.u.
1.0
5.6955 -2.3613 0.0000
5.6955 2.3613 0.0000
-4.5411 0.0000 9.6944
Na Ga Hg
4 2 4
Cartesian
-1.4621 0.0000 3.2846 Na
1.6335 0.0000 0.9742 Na
5.2164 0.0000 8.7202 Na
8.3119 0.0000 6.4098 Na
0.2360 0.0000 6.3434 Ga
6.6138 0.0000 3.3511 Ga
2.0773 0.0000 4.1632 Hg
4.7919 0.0000 1.1915 Hg
2.0579 0.0000 8.5030 Hg
4.7725 0.0000 5.5312 Hg

---

Model two:
Na2GaHg2 PBE-GGA optimized geometry; M_tot = 0.00 μB/f.u.
1.0
7.7431 0.0000 0.0000
0.0000 7.7431 0.0000
0.0000 0.0000 4.2872
Na Ga Hg
4 2 4
Cartesian
1.2826 2.5890 0.0000 Na
2.5890 6.4605 0.0000 Na
5.1541 1.2826 0.0000 Na
6.4605 5.1541 0.0000 Na
0.0000 0.0000 2.1436 Ga
3.8715 3.8715 2.1436 Ga
1.0826 4.9541 2.1436 Hg
2.7890 1.0826 2.1436 Hg
4.9541 6.6605 2.1436 Hg
6.6605 2.7890 2.1436 Hg

---

In meV per atom, relative to the most stable structure: model one 0; model two 44.

---

Model one:
NaGa3Hg PBE-GGA optimized geometry; M_tot = 0.00 μB/f.u.
1.0
6.6587 0.0000 0.0000
-3.3293 5.7666 0.0000
0.0000 0.0000 6.2903
Na Ga Hg
2 6 2
Cartesian
0.0000 3.8444 1.5726 Na
3.3293 1.9222 4.7178 Na
0.0000 2.3137 4.7178 Ga
-1.3257 4.6098 4.7178 Ga
2.0037 1.1568 1.5726 Ga
1.3257 4.6098 4.7178 Ga
4.6550 1.1568 1.5726 Ga
3.3293 3.4529 1.5726 Ga
0.0000 0.0000 0.0000 Hg
0.0000 0.0000 3.1452 Hg

---

Model two:
NaGa3Hg PBE-GGA optimized geometry; M_tot = 0.00 μB/f.u.
1.0
5.3279 0.0000 0.0000
0.0000 5.3279 0.0000
0.0000 0.0000 5.3279
Na Ga Hg
1 3 1
Cartesian
0.0000 0.0000 0.0000 Na
0.0000 2.6640 2.6640 Ga
2.6640 0.0000 2.6640 Ga
2.6640 2.6640 0.0000 Ga
2.6640 2.6640 2.6640 Hg

---

In meV per atom, relative to the most stable structure: model one 0; model two 274.

---

Model one:
NaGaHg4 PBE-GGA optimized geometry; M_tot = 0.00 μB/f.u.
1.0
0.0000 4.3133 4.3133
4.3133 0.0000 4.3133
4.3133 4.3133 0.0000
Na Ga Hg
1 1 4
Cartesian
0.0000 0.0000 0.0000 Na
6.4699 6.4699 6.4699 Ga
3.2348 3.2348 3.2348 Hg
5.3918 5.3918 3.2348 Hg
5.3918 3.2348 5.3918 Hg
3.2348 5.3918 5.3918 Hg

---

Model two:
NaGaHg4 PBE-GGA optimized geometry; M_tot = 0.00 μB/f.u.
1.0
2.6979 -7.4330 0.0000
2.6979 7.4330 0.0000
0.0000 0.0000 8.0432
Na Ga Hg
2 2 8
Cartesian
2.6979 5.4988 6.0324 Na
2.6979 -5.4988 2.0108 Na
2.6979 2.0579 6.0324 Ga
2.6979 -2.0579 2.0108 Ga
2.6979 6.2830 2.0108 Hg
2.6979 3.2701 0.5432 Hg
2.6979 3.2701 3.4784 Hg
2.6979 0.0000 0.0000 Hg
2.6979 0.0000 4.0216 Hg
2.6979 -3.2701 4.5648 Hg
2.6979 -3.2701 7.5000 Hg
2.6979 -6.2830 6.0324 Hg

---

Model three:
NaGaHg4 PBE-GGA optimized geometry; M_tot = 0.00 μB/f.u.
1.0
6.1161 -1.7178 0.0000
6.1161 1.7178 0.0000
-1.8785 0.0000 7.0868
Na Ga Hg
1 1 4
Cartesian
0.0000 0.0000 0.0000 Na
-0.9392 0.0000 3.5434 Ga
3.7385 0.0000 1.2866 Hg
2.9776 0.0000 4.6868 Hg
7.3762 0.0000 2.3999 Hg
6.6154 0.0000 5.8002 Hg

---

In meV per atom, relative to the most stable structure: model one 100; model two 15; model three 0.

---

Model one:
Na2GaHg PBE-GGA optimized geometry; M_tot = 0.00 μB/f.u.
1.0
1.6827 0.9715 10.2820
-1.6827 0.9715 10.2820
0.0000 -1.9430 10.2820
Na Ga Hg
2 1 1
Cartesian
0.0000 0.0000 0.0000 Na
0.0000 0.0000 5.1100 Na
0.0000 0.0000 23.1204 Ga
0.0000 0.0000 17.9771 Hg

---

Model two:
Na2GaHg PBE-GGA optimized geometry; M_tot = 0.00 μB/f.u.
1.0
5.5384 -2.3089 0.0000
5.5384 2.3089 0.0000
-4.8758 0.0000 8.0425
Na Ga Hg
4 2 2
Cartesian
0.0000 0.0000 0.0000 Na
-2.4090 0.0000 4.0029 Na
1.0580 0.0000 5.5358 Na
5.2134 0.0000 2.4965 Na
-1.7331 0.0000 7.4343 Ga
7.9368 0.0000 0.5481 Ga
1.9127 0.0000 2.3954 Hg
4.3557 0.0000 5.6058 Hg

---

In meV per atom, relative to the most stable structure: model one 106; model two 0.

---

Model one:
Na2GaHg PBE-GGA optimized geometry; M_tot = 0.00 μB/f.u.
1.0
4.4918 0.0000 0.0000
0.0000 4.4918 0.0000
0.0000 0.0000 4.7612
Na Ga Hg
2 1 1
Cartesian
0.0000 2.2459 0.0000 Na
2.2459 0.0000 0.0000 Na
0.0000 0.0000 2.3806 Ga
2.2459 2.2459 2.3806 Hg

---

Model two:
Na2GaHg PBE-GGA optimized geometry; M_tot = 0.00 μB/f.u.
1.0
3.6668 0.0000 0.0000
0.0000 3.6668 0.0000
0.0000 0.0000 7.3055
Na Ga Hg
2 1 1
Cartesian
0.0000 0.0000 1.7785 Na
0.0000 0.0000 5.5270 Na
1.8334 1.8334 0.0000 Ga
1.8334 1.8334 3.6527 Hg

---

Model three:
Na2GaHg PBE-GGA optimized geometry; M_tot = 0.00 μB/f.u.
1.0
0.0000 3.6591 3.6591
3.6591 0.0000 3.6591
3.6591 3.6591 0.0000
Na Ga Hg
2 1 1
Cartesian
1.8295 1.8295 1.8295 Na
5.4886 5.4886 5.4886 Na
0.0000 0.0000 0.0000 Ga
3.6591 3.6591 3.6591 Hg

---

Model four:
Na2GaHg PBE-GGA optimized geometry; M_tot = 0.00 μB/f.u.
1.0
4.6237 -3.8901 0.0000
4.6237 3.8901 0.0000
0.0000 0.0000 5.6487
Na Ga Hg
4 2 2
Cartesian
1.7050 1.2374 1.4122 Na
1.7050 -1.2374 4.2365 Na
7.5424 1.2374 1.4122 Na
7.5424 -1.2374 4.2365 Na
4.6237 0.0000 0.0000 Ga
4.6237 0.0000 2.8243 Ga
4.6237 2.5503 1.4122 Hg
4.6237 -2.5503 4.2365 Hg

---

In meV per atom, relative to the most stable structure: model one 38; model two 55; model three 67; model four 0.

---

Model one:
Na3Ga2Hg3 PBE-GGA optimized geometry; M_tot = 0.00 μB/f.u.
1.0
2.3814 -5.5269 0.0000
2.3814 5.5269 0.0000
0.0000 0.0000 15.6412
Na Ga Hg
6 4 6
Cartesian
2.3814 4.6545 9.5131 Na
2.3814 4.6545 13.9487 Na
2.3814 1.3847 11.7309 Na
2.3814 -1.3847 3.9103 Na
2.3814 -4.6545 1.6925 Na
2.3814 -4.6545 6.1281 Na
2.3814 3.1255 1.4997 Ga
2.3814 3.1255 6.3209 Ga
2.3814 -3.1255 9.3203 Ga
2.3814 -3.1255 14.1415 Ga
2.3814 1.8643 3.9103 Hg
2.3814 1.3040 8.5416 Hg
2.3814 1.3040 14.9202 Hg
2.3814 -1.3040 0.7210 Hg
2.3814 -1.3040 7.0996 Hg
2.3814 -1.8643 11.7309 Hg

---

Model two:
Na3Ga2Hg3 PBE-GGA optimized geometry; M_tot = 0.00 μB/f.u.
1.0
4.0857 0.0000 0.0000
-0.0065 4.7452 0.0000
-2.0108 -2.3552 9.7786
Na Ga Hg
3 2 3
Cartesian
0.0000 0.0000 0.0000 Na
0.0026 2.3801 2.5432 Na
2.0658 0.0099 7.2353 Na
-0.0024 0.0043 4.7651 Ga
2.0709 2.3857 5.0134 Ga
0.0302 2.3799 7.2022 Hg
2.0396 2.3726 0.0000 Hg
2.0383 0.0102 2.5764 Hg

---

In meV per atom, relative to the most stable structure: model one 0; model two 24.

---

Model one:
Na3GaHg4 PBE-GGA optimized geometry; M_tot = 0.00 μB/f.u.
1.0
-3.1782 5.3909 3.1064
3.1782 -5.3909 3.1064
3.1782 5.3909 -3.1064
Na Ga Hg
3 1 4
Cartesian
0.0000 0.0000 0.0000 Na
0.0000 3.1207 1.5989 Na
0.0000 7.6611 1.5989 Na
3.1782 0.0000 0.7829 Ga
3.1782 2.7111 1.5385 Hg
1.7008 5.3909 0.0596 Hg
1.4774 0.0000 3.1660 Hg
0.0000 2.6798 4.6449 Hg

---

Model two:
Na3GaHg4 PBE-GGA optimized geometry; M_tot = 0.00 μB/f.u.
1.0
7.7274 -2.5983 0.0000
7.7274 2.5983 0.0000
-1.7258 0.0000 4.9015
Na Ga Hg
3 1 4
Cartesian
0.0000 0.0000 0.0000 Na
3.4949 0.0000 1.2498 Na
10.2341 0.0000 3.6517 Na
6.8645 0.0000 2.4507 Ga
0.7759 0.0000 3.0296 Hg
4.3642 0.0000 4.3183 Hg
9.3649 0.0000 0.5832 Hg
12.9532 0.0000 1.8719 Hg

---

In meV per atom, relative to the most stable structure: model one 69; model two 0.

---

Model one:
NaGa2HgPd PBE-GGA optimized geometry; M_tot = 0.00 μB/f.u.
1.0
4.8427 0.0000 0.0000
0.0000 4.8427 0.0000
0.0000 0.0000 5.3659
Na Ga Hg Pd
1 2 1 1
Cartesian
0.0000 0.0000 0.0000 Na
0.0000 2.4213 2.6829 Ga
2.4213 0.0000 2.6829 Ga
2.4213 2.4213 0.0000 Hg
2.4213 2.4213 2.6829 Pd

---

Model two:
NaGa2HgPd PBE-GGA optimized geometry; M_tot = 0.00 μB/f.u.
1.0
4.8073 0.0000 0.0000
0.0000 4.8073 0.0000
0.0000 0.0000 5.5385
Na Ga Hg Pd
1 2 1 1
Cartesian
0.0000 0.0000 0.0000 Na
0.0000 2.4037 2.7692 Ga
2.4037 0.0000 2.7692 Ga
2.4037 2.4037 0.0000 Hg
0.0000 0.0000 2.7692 Pd

---

In meV per atom, relative to the most stable structure: model one 20; model two 0.

---

Model one:
NaGaHg2Pt PBE-GGA optimized geometry; M_tot = 0.00 μB/f.u.
1.0
5.3255 0.0000 0.0000
0.0000 5.3255 0.0000
0.0000 0.0000 4.8118
Na Ga Hg Pt
1 1 2 1
Cartesian
0.0000 0.0000 0.0000 Na
2.6628 2.6628 2.4059 Ga
0.0000 2.6628 2.4059 Hg
2.6628 0.0000 2.4059 Hg
2.6628 2.6628 0.0000 Pt

---

Model two:
NaGaHg2Pt PBE-GGA optimized geometry; M_tot = 0.00 μB/f.u.
1.0
5.3600 0.0000 0.0000
0.0000 5.3600 0.0000
0.0000 0.0000 4.7772
Na Ga Hg Pt
1 1 2 1
Cartesian
0.0000 0.0000 0.0000 Na
2.6800 2.6800 0.0000 Ga
0.0000 2.6800 2.3886 Hg
2.6800 0.0000 2.3886 Hg
2.6800 2.6800 2.3886 Pt

---

In meV per atom, relative to the most stable structure: model one 239; model two 0.

---

Model one:
NaGa2HgPt PBE-GGA optimized geometry; M_tot = 0.00 μB/f.u.
1.0
4.8004 0.0000 0.0000
0.0000 4.8004 0.0000
0.0000 0.0000 5.6660
Na Ga Hg Pt
1 2 1 1
Cartesian
0.0000 0.0000 0.0000 Na
0.0000 2.4002 2.8330 Ga
2.4002 0.0000 2.8330 Ga
2.4002 2.4002 0.0000 Hg
0.0000 0.0000 2.8330 Pt

---

Model two:
NaGa2HgPt PBE-GGA optimized geometry; M_tot = 0.00 μB/f.u.
1.0
4.8406 0.0000 0.0000
0.0000 4.8406 0.0000
0.0000 0.0000 5.3665
Na Ga Hg Pt
1 2 1 1
Cartesian
0.0000 0.0000 0.0000 Na
0.0000 2.4203 2.6833 Ga
2.4203 0.0000 2.6833 Ga
2.4203 2.4203 0.0000 Hg
2.4203 2.4203 2.6833 Pt

---

In meV per atom, relative to the most stable structure: model one 0; model two 55.